No. 1
# PC2

A PBEsol-optimized structure of PC2 (SCAN, the Alexandria database).

abc: 2.801 2.801 7.398
angles: 90.00 90.00 120.00
Fractional positions:
P  0.333  0.667  0.250
P  0.667  0.333  0.750
C  0.000  0.000  0.093
C  0.000  0.000  0.407
C  0.000  0.000  0.593
C  0.000  0.000  0.907

## Properties
- Energy of formation: 1129 meV per atom
- Mass density: 3.635 g/cm³
- Magnetic moment: 0.0 μB/f.u.
- Space-group type: P6_3/mmc
- Relative energy among the computed polymorphs: 0 meV/atom

No. 2
# PC3

A PBEsol-optimized structure of PC3 (SCAN, the Alexandria database).

abc: 2.700 2.700 4.176
angles: 90.00 90.00 90.00
Fractional positions:
P  0.000  0.000  0.000
C  0.000  0.500  0.712
C  0.500  0.000  0.288
C  0.500  0.500  0.500

## Properties
- Energy of formation: 950 meV per atom
- Mass density: 3.656 g/cm³
- Magnetic moment: 0.0 μB/f.u.
- Space-group type: P-4m2

No. 3
# P2C3

A PBEsol-optimized structure of P2C3 (SCAN, the Alexandria database).

abc: 6.447 6.447 6.447
angles: 25.73 25.73 25.73
Fractional positions:
P  0.094  0.094  0.094
P  0.906  0.906  0.906
C  0.280  0.280  0.280
C  0.500  0.500  0.500
C  0.720  0.720  0.720

## Properties
- Energy of formation: 1441 meV per atom
- Mass density: 3.657 g/cm³
- Magnetic moment: 0.0 μB/f.u.
- Space-group type: R-3m

No. 4
# PC2

A PBEsol-optimized structure of PC2 (SCAN, the Alexandria database).

abc: 4.849 4.849 3.860
angles: 90.00 90.00 120.00
Fractional positions:
P  0.000  0.000  0.000
P  0.333  0.667  0.500
P  0.667  0.333  0.500
C  0.000  0.307  0.710
C  0.000  0.693  0.290
C  0.307  0.000  0.710
C  0.307  0.307  0.290
C  0.693  0.000  0.290
C  0.693  0.693  0.710

## Properties
- Energy of formation: 1616 meV per atom
- Mass density: 3.486 g/cm³
- Magnetic moment: 0.0 μB/f.u.
- Space-group type: P-31m
- Relative energy among the computed polymorphs: 488 meV/atom